The following is a meta-GGA SCAN calculation of a PBEsol-optimized structure of LaPbSe2N, from the Alexandria database.

The space group is P4/mmm (No. 123) and the conventional cell measures 5.780, 5.780 and 4.112 Å, with angles of 90.00, 90.00 and 90.00 degrees. The inequivalent atoms are La at (0.000, 0.000, 0.000), Pb at (0.500, 0.500, 0.500), Se at (0.000, 0.500, 0.000) and N at (0.000, 0.000, 0.500).

The value obtained for the raw formation energy is -0.20 eV/atom. Its calculated total energy is -169.31 eV/cell. The calculation puts the total magnetic moment at 0.21 μB/atom. Its density is 6262 kg/m3.